# 1
TlTcRh2 | PBE | optimized geometry

Formation energy in eV/atom: 0.340
Size of the total moment in μB/cell: 3.85
Polymorph energy (0 for the lowest one) in meV per atom: 249
Density of states at the Fermi level in states/eV/cell: 2.32

```
4
Lattice="4.238 -1.659 -0.048 2.344 -0.369 3.884 0.856 -4.109 1.761" Properties=species:S:1:pos:R:3 pbc="T T T"
Tl 3.719 -3.068 2.798
Rh 1.859 -1.534 1.399
Rh 5.578 -4.602 4.198
Tc 0.000 0.000 0.000
```

---

# 2
NaLi2InPt | PBE | optimized geometry

Formation energy in eV/atom: -0.272
Size of the total moment in μB/cell: 0.00
Density of states at the Fermi level in states/eV/cell: 2.18

```
5
Lattice="-1.262 -0.644 4.677 -3.063 -3.572 -1.318 3.794 -3.455 0.548" Properties=species:S:1:pos:R:3 pbc="T T T"
Na -0.265 -3.836 1.953
Li -1.531 -1.786 -0.659
Li -0.631 -0.322 2.338
Pt 0.000 0.000 0.000
In 1.897 -1.728 0.274
```

---

# 3
FeNi3Pd4 | PBE | optimized geometry

Formation energy in eV/atom: 0.026
Size of the total moment in μB/cell: 6.28
Polymorph energy (0 for the lowest one) in meV per atom: 40
Density of states at the Fermi level in states/eV/cell: 10.08

```
8
Lattice="2.707 0.000 0.000 0.000 4.662 -0.514 -1.353 -2.947 8.918" Properties=species:S:1:pos:R:3 pbc="T T T"
Fe 1.353 0.000 0.000
Ni 0.000 2.331 -0.257
Ni 0.000 -0.315 4.309
Ni 1.353 2.030 4.095
Pd 1.353 3.345 1.768
Pd 0.000 -1.629 6.635
Pd 1.353 0.698 6.368
Pd 0.000 1.018 2.036
```

---

# 4
LaAl3ZnAg | PBE | optimized geometry

Formation energy in eV/atom: -0.097
Size of the total moment in μB/cell: 0.00
Density of states at the Fermi level in states/eV/cell: 5.17

```
12
Lattice="6.379 0.000 0.000 0.000 6.184 0.000 0.000 -3.092 6.419" Properties=species:S:1:pos:R:3 pbc="T T T"
La 4.784 0.000 3.832
La 1.595 3.092 2.587
Al 1.595 0.000 1.672
Al 0.000 1.761 0.000
Al 3.189 4.423 0.000
Al 3.189 1.761 0.000
Al 0.000 4.423 0.000
Al 4.784 3.092 4.747
Zn 1.595 3.092 5.422
Zn 4.784 0.000 0.997
Ag 1.595 0.000 4.454
Ag 4.784 3.092 1.965
```

---

# 5
CoBI2 | PBE | optimized geometry

Size of the total moment in μB/cell: 0.00
Polymorph energy (0 for the lowest one) in meV per atom: 0
Density of states at the Fermi level in states/eV/cell: 2.23
Formation energy (no corrections) in eV per atom: 1.0787

```
8
Lattice="-3.717 -4.151 0.669 3.940 -3.127 2.489 -1.384 -1.482 6.657" Properties=species:S:1:pos:R:3 pbc="T T T"
I -2.183 -3.363 2.395
I 1.659 -2.836 3.302
I -0.962 -3.835 6.173
I -0.836 -7.486 7.760
B 0.111 -3.639 1.579
B 1.334 -4.124 5.362
Co 0.000 0.000 0.000
Co -2.495 -4.636 4.452
```

---

# 6
PuMg2Hg | PBE | optimized geometry

Formation energy in eV/atom: 0.042
Size of the total moment in μB/cell: 6.42
Polymorph energy (0 for the lowest one) in meV per atom: 79
Density of states at the Fermi level in states/eV/cell: 12.87

```
4
Lattice="-1.094 -0.965 -4.570 4.406 -0.955 -0.853 -0.738 -4.391 1.104" Properties=species:S:1:pos:R:3 pbc="T T T"
Mg -0.369 -2.196 0.552
Mg 2.203 -0.477 -0.426
Hg -0.547 -0.482 -2.285
Pu 1.287 -3.155 -2.159
```

---

# 7
Pu3AlTl3S8 | PBE | optimized geometry

Size of the total moment in μB/cell: 4.64
Density of states at the Fermi level in states/eV/cell: 31.80
Formation energy (no corrections) in eV per atom: -1.0902

```
15
Lattice="-4.652 1.099 6.326 0.744 -7.233 -3.165 6.903 3.050 4.547" Properties=species:S:1:pos:R:3 pbc="T T T"
Pu 1.126 2.075 5.436
Pu 1.498 -1.542 3.854
Pu 3.824 -2.092 0.691
Al 3.452 1.525 2.273
Tl 0.000 0.000 0.000
Tl 0.372 -3.617 -1.582
Tl -1.954 -3.067 1.581
S 1.243 -2.639 1.373
S 1.752 -0.445 6.335
S -1.031 -2.290 4.609
S 4.027 -0.793 3.099
S -1.445 1.620 6.335
S 4.441 -4.703 1.372
S 1.093 1.020 2.884
S 1.903 -4.104 4.824
```

---

# 8
GeRuN | PBE | optimized geometry

Size of the total moment in μB/cell: 0.00
Polymorph energy (0 for the lowest one) in meV per atom: 55
Density of states at the Fermi level in states/eV/cell: 3.80
Formation energy (no corrections) in eV per atom: 0.1612

```
12
Lattice="-2.460 4.100 -1.212 0.146 -0.723 -2.741 -8.042 -8.920 1.922" Properties=species:S:1:pos:R:3 pbc="T T T"
Ge -6.220 -2.330 0.282
Ge -2.126 1.769 -2.049
Ge -6.551 -5.331 1.056
Ge -2.457 -1.232 -1.276
Ru -0.473 -0.111 0.004
Ru -4.421 -4.933 -0.405
Ru -5.028 1.177 -0.579
Ru -8.976 -3.645 -0.988
N -4.571 -3.172 0.592
N -8.519 -7.994 0.183
N -7.588 -3.731 0.579
N -3.494 0.368 -1.753
```

---

# 9
RbSc2Pt | PBE | optimized geometry

Formation energy in eV/atom: 0.137
Size of the total moment in μB/cell: 0.00
Polymorph energy (0 for the lowest one) in meV per atom: 422
Density of states at the Fermi level in states/eV/cell: 5.37

```
4
Lattice="0.000 3.549 3.549 3.549 0.000 3.549 3.549 3.549 0.000" Properties=species:S:1:pos:R:3 pbc="T T T"
Sc 1.775 1.775 1.775
Sc 5.324 5.324 5.324
Rb 0.000 0.000 0.000
Pt 3.549 3.549 3.549
```

---

# 10
Dy7AuSe5 | PBE | optimized geometry

Size of the total moment in μB/cell: 0.00
Density of states at the Fermi level in states/eV/cell: 17.20
Formation energy (no corrections) in eV per atom: -1.4910

```
26
Lattice="4.030 0.000 0.000 -2.015 6.655 0.008 0.000 -0.028 24.348" Properties=species:S:1:pos:R:3 pbc="T T T"
Dy 0.000 6.170 6.095
Dy 2.015 0.465 18.261
Dy 2.015 1.839 0.915
Dy 0.000 4.798 23.440
Dy 0.000 4.808 13.093
Dy 2.015 1.826 11.263
Dy 0.000 2.587 4.364
Dy 2.015 4.050 19.992
Dy 2.015 4.051 16.539
Dy 0.000 2.583 7.816
Dy 2.015 5.466 2.756
Dy 0.000 1.171 21.601
Dy 0.000 1.176 14.923
Dy 2.015 5.458 9.432
Au 2.015 4.003 6.092
Au 0.000 2.633 18.266
Se 0.000 0.005 0.000
Se 2.015 2.947 22.623
Se 0.000 3.690 1.733
Se 2.015 0.689 8.688
Se 0.000 5.945 15.668
Se 0.000 -0.011 12.174
Se 0.000 3.679 10.450
Se 2.015 2.955 13.906
Se 0.000 5.942 20.868
Se 2.015 0.695 3.487
```

---

# 11
Sc3US4 | PBE | optimized geometry

Size of the total moment in μB/cell: 5.05
Density of states at the Fermi level in states/eV/cell: 12.60
Formation energy (no corrections) in eV per atom: -1.7293

```
16
Lattice="3.687 0.000 0.000 -1.843 3.193 0.000 0.000 0.000 25.103" Properties=species:S:1:pos:R:3 pbc="T T T"
Sc 0.000 0.000 0.000
Sc 0.000 0.000 12.551
Sc 0.000 2.129 22.027
Sc 1.843 1.064 3.076
Sc 1.843 1.064 9.476
Sc 0.000 2.129 15.627
S 1.843 1.064 23.591
S 0.000 2.129 1.512
S 0.000 2.129 11.040
S 1.843 1.064 14.063
S 0.000 0.000 20.592
S 0.000 0.000 4.511
S 0.000 0.000 8.040
S 0.000 0.000 17.063
U 1.843 1.064 18.827
U 0.000 2.129 6.276
```

---

# 12
CaBeP2O | PBE | optimized geometry

Size of the total moment in μB/cell: 0.75
Polymorph energy (0 for the lowest one) in meV per atom: 1235
Density of states at the Fermi level in states/eV/cell: 4.81
Formation energy (no corrections) in eV per atom: 0.9843

```
5
Lattice="5.306 0.000 0.000 0.000 5.306 0.000 0.000 0.000 4.090" Properties=species:S:1:pos:R:3 pbc="T T T"
P 0.000 2.653 0.000
P 2.653 0.000 0.000
Ca 0.000 0.000 0.000
O 0.000 0.000 2.045
Be 2.653 2.653 2.045
```